1.
## Pm2Tm5Fe2 (PBE)

Data for a relaxed structure of Pm2Tm5Fe2.

Its crystal system is orthorhombic. Its formation energy is 0.010 eV/atom.

The structure belongs to space group Cmce (No. 64); the cell edges are 19.8947, 6.9502 and 6.9297 Å and the angles 90.00°, 90.00° and 90.00°. The asymmetric unit holds Pm at (0.2316, 0.0000, 0.0000), Tm at (0.0000, 0.0000, 0.0000), Tm at (0.1049, 0.1809, 0.3218) and Fe at (0.0000, 0.1106, 0.6074).


2.
## CsLi3I4 (PBE)

Data for a relaxed structure of CsLi3I4.

Its crystal system is orthorhombic. For the uncorrected formation energy, the calculation gives -1266 meV per atom. The energy above the lowest structure with this stoichiometry is 0.0250 eV/atom.

The structure belongs to space group Pmn2_1 (No. 31); the cell edges are 10.4549, 7.8500 and 7.9882 Å and the angles 90.00°, 90.00° and 90.00°. The asymmetric unit holds Cs at (0.0000, 0.2276, 0.0000), Li at (0.0000, 0.7928, 0.4959), Li at (0.2469, 0.3251, 0.4800), I at (0.0000, 0.1492, 0.4696), I at (0.0000, 0.7512, 0.8450) and I at (0.1946, 0.6284, 0.3160).


3.
## Ac2NdDySb4 (PBE)

Data for a relaxed structure of Ac2NdDySb4.

Its crystal system is monoclinic. For the uncorrected formation energy, the calculation gives -1169 meV per atom.

The structure belongs to space group P2/m (No. 10); the cell edges are 8.0156, 4.6311 and 8.0186 Å and the angles 90.00°, 109.46° and 90.00°. The asymmetric unit holds Ac at (0.0000, 0.0000, 0.0000), Ac at (0.5000, 0.5000, 0.0000), Nd at (0.0000, 0.5000, 0.5000), Dy at (0.5000, 0.0000, 0.5000), Sb at (0.2482, 0.0000, 0.7324) and Sb at (0.2607, 0.5000, 0.2703).


4.
## CdOs3 (PBE)

Data for a relaxed structure of CdOs3.

Its crystal system is hexagonal. Its formation energy is 0.847 eV/atom. The energy above the lowest structure with this stoichiometry is 0.6100 eV/atom.

The structure belongs to space group P6_3/mmc (No. 194); the cell edges are 5.6087, 5.6087 and 9.1296 Å and the angles 90.00°, 90.00° and 120.00°. The asymmetric unit holds Cd at (0.0000, 0.0000, 0.0000), Cd at (0.3333, 0.6667, 0.2500), Os at (0.0000, 0.5000, 0.0000) and Os at (0.1662, 0.3324, 0.7500).


5.
## LiMoN3 (PBE)

Data for a relaxed structure of LiMoN3.

Its crystal system is cubic. For the uncorrected formation energy, the calculation gives 1653 meV per atom.

The structure belongs to space group Pm-3m (No. 221); the cell edges are 3.4554, 3.4554 and 3.4554 Å and the angles 90.00°, 90.00° and 90.00°. The asymmetric unit holds Li at (0.0000, 0.0000, 0.0000), Mo at (0.5000, 0.5000, 0.5000) and N at (0.0000, 0.0000, 0.5000).


6.
## LiLa4Ru (PBE)

Data for a relaxed structure of LiLa4Ru.

Its crystal system is monoclinic. Its formation energy is -0.030 eV/atom. The energy above the lowest structure with this stoichiometry is 0.0000 eV/atom.

The structure belongs to space group C2/c (No. 15); the cell edges are 9.2132, 15.2419 and 6.8277 Å and the angles 90.00°, 120.35° and 90.00°. The asymmetric unit holds Li at (0.0000, 0.1090, 0.2500), La at (0.1511, 0.2896, 0.6467), La at (0.2173, 0.4456, 0.2084) and Ru at (0.0000, 0.4182, 0.7500).


7.
## GaCuPd5 (PBE)

Data for a relaxed structure of GaCuPd5.

Its crystal system is monoclinic. Its formation energy is -0.113 eV/atom. The energy above the lowest structure with this stoichiometry is 0.0968 eV/atom.

The structure belongs to space group C2/c (No. 15); the cell edges are 7.9686, 9.3368 and 7.1568 Å and the angles 90.00°, 123.25° and 90.00°. The asymmetric unit holds Ga at (0.2500, 0.2500, 0.0000), Cu at (0.0000, 0.1973, 0.2500), Pd at (0.0000, 0.0685, 0.7500), Pd at (0.0775, 0.3471, 0.6037) and Pd at (0.2240, 0.4208, 0.3584).


8.
## LaH2Ru2 (PBE)

Data for a relaxed structure of LaH2Ru2.

Its crystal system is tetragonal. The energy above the lowest structure with this stoichiometry is 0.0000 eV/atom.

The structure belongs to space group I4/mmm (No. 139); the cell edges are 3.8630, 3.8630 and 9.0563 Å and the angles 90.00°, 90.00° and 90.00°. The asymmetric unit holds La at (0.0000, 0.0000, 0.0000), H at (0.0000, 0.5000, 0.2500) and Ru at (0.0000, 0.0000, 0.2872).


9.
## Fe2H3Rh (PBE)

Data for a relaxed structure of Fe2H3Rh.

Its crystal system is orthorhombic. As for the energy: -135.45 eV per cell.

The structure belongs to space group Pnma (No. 62); the cell edges are 5.6206, 2.8549 and 11.7356 Å and the angles 90.00°, 90.00° and 90.00°. The asymmetric unit holds Fe at (0.1271, 0.2500, 0.0937), Fe at (0.1457, 0.2500, 0.7353), H at (0.1111, 0.7500, 0.8173), H at (0.1165, 0.7500, 0.0054), H at (0.1265, 0.7500, 0.5008) and Rh at (0.1253, 0.2500, 0.4026).


10.
## CsLiLaBr (PBE)

Data for a relaxed structure of CsLiLaBr.

Its crystal system is monoclinic. For the uncorrected formation energy, the calculation gives -517 meV per atom. The energy above the lowest structure with this stoichiometry is 0.0000 eV/atom.

The structure belongs to space group Pm (No. 6); the cell edges are 4.1323, 4.0518 and 9.7859 Å and the angles 90.00°, 102.13° and 90.00°. The asymmetric unit holds Cs at (0.0000, 0.0000, 0.0000), Li at (0.3397, 0.5000, 0.6842), La at (0.7418, 0.0000, 0.4872) and Br at (0.6165, 0.5000, 0.2342).


11.
## NiC2 (PBE)

Data for a relaxed structure of NiC2.

Its crystal system is tetragonal. Its formation energy is 1.476 eV/atom. The energy above the lowest structure with this stoichiometry is 1.0572 eV/atom.

The structure belongs to space group I4_1/amd (No. 141, origin choice 2); the cell edges are 3.3290, 3.3290 and 8.0840 Å and the angles 90.00°, 90.00° and 90.00°. The asymmetric unit holds Ni at (0.0000, 0.2500, 0.3750) and C at (0.0000, 0.2500, 0.7814).